## NpSnRuO6 (GGA-PBE)

Data for a relaxed structure of NpSnRuO6.

Results
- formation energy (no corrections) (eV per atom) = -1.6855
- crystal system = trigonal

Cell: 5.4272 5.4272 8.8354 Å, 90.00 90.00 120.00°
Last column: nearest neighbours and their distance in Å.
Atoms (fractional coordinates):
O1 0.9977 0.6729 0.8750  1 Ru 2.09, 1 Sn 2.13, 1 Np 2.14
Np1 0.3333 0.6667 0.7500  6 O 2.14
O2 0.3248 0.9977 0.1250  1 Ru 2.09, 1 Sn 2.13, 1 Np 2.14
O3 0.0023 0.3271 0.1250  1 Ru 2.09, 1 Sn 2.13, 1 Np 2.14
Np2 0.6667 0.3333 0.2500  6 O 2.14
O4 0.9977 0.3248 0.6250  1 Ru 2.09, 1 Sn 2.13, 1 Np 2.14
Ru1 0.0000 0.0000 0.5000  6 O 2.09
Sn1 0.6667 0.3333 0.7500  6 O 2.13
O5 0.3248 0.3271 0.3750  1 Ru 2.09, 1 Sn 2.13, 1 Np 2.14
O6 0.6729 0.9977 0.3750  1 Ru 2.09, 1 Sn 2.13, 1 Np 2.14
O7 0.6752 0.0023 0.8750  1 Ru 2.09, 1 Sn 2.13, 1 Np 2.14
O8 0.3271 0.0023 0.6250  1 Ru 2.09, 1 Sn 2.13, 1 Np 2.14
O9 0.6752 0.6729 0.6250  1 Ru 2.09, 1 Sn 2.13, 1 Np 2.14
O10 0.3271 0.3248 0.8750  1 Ru 2.09, 1 Sn 2.13, 1 Np 2.14
O11 0.0023 0.6752 0.3750  1 Ru 2.09, 1 Sn 2.13, 1 Np 2.14
Ru2 0.0000 0.0000 0.0000  6 O 2.09
O12 0.6729 0.6752 0.1250  1 Ru 2.09, 1 Sn 2.13, 1 Np 2.14
Sn2 0.3333 0.6667 0.2500  6 O 2.13

## Pr2OsN3 (GGA-PBE)

Data for a relaxed structure of Pr2OsN3.

Results
- formation energy (no corrections) (eV per atom) = -0.8653
- crystal system = orthorhombic

Cell: 3.6572 3.8094 7.0605 Å, 105.65 105.01 90.00°
Last column: nearest neighbours and their distance in Å.
Atoms (fractional coordinates):
N1 0.0000 0.5000 0.0000  2 Os 1.90
Pr1 0.6511 0.6511 0.3021  7 N 2.45-2.69
N2 0.8379 0.8379 0.6757  1 Os 2.12
Os1 0.0000 0.0000 0.0000  4 N 1.90-2.12
N3 0.1621 0.1621 0.3243  1 Os 2.12
Pr2 0.3489 0.3489 0.6979  7 N 2.45-2.69

## GaFe3H (GGA-PBE)

Data for a relaxed structure of GaFe3H.

Results
- E (eV per cell) = -62.420
- crystal system = orthorhombic

Cell: 4.9740 4.9740 5.0493 Å, 90.00 90.00 119.95°
Last column: nearest neighbours and their distance in Å.
Atoms (fractional coordinates):
Fe1 0.0000 0.0000 0.5000  2 H 1.73
H1 0.1377 0.8623 0.2500  4 Fe 1.73
Fe2 0.9714 0.5263 0.7500  1 H 1.73
Ga1 0.5330 0.4670 0.2500  4 Fe 2.45-2.53, 2 Ga 2.59, 2 H 2.65
Fe3 0.5263 0.9714 0.2500  1 H 1.73
Fe4 0.0286 0.4737 0.2500  1 H 1.73
H2 0.8623 0.1377 0.7500  4 Fe 1.73
Fe5 0.4737 0.0286 0.7500  1 H 1.73
Fe6 0.0000 0.0000 0.0000  2 H 1.73
Ga2 0.4670 0.5330 0.7500  4 Fe 2.45-2.53, 2 Ga 2.59, 2 H 2.65

## Tb2SmTl3 (GGA-PBE)

Data for a relaxed structure of Tb2SmTl3.

Results
- energy of formation (meV per atom) = -366
- crystal system = tetragonal

Cell: 3.7942 3.7942 11.6761 Å, 90.00 90.00 90.00°
Last column: nearest neighbours and their distance in Å.
Atoms (fractional coordinates):
Sm1 0.5000 0.5000 0.5000  8 Tl 3.35
Tb1 0.5000 0.5000 0.8358  8 Tl 3.30
Tl1 0.0000 0.0000 0.6719  4 Tb 3.30, 4 Sm 3.35
Tl2 0.0000 0.0000 0.0000  8 Tb 3.30
Tl3 0.0000 0.0000 0.3281  4 Tb 3.30, 4 Sm 3.35
Tb2 0.5000 0.5000 0.1642  8 Tl 3.30